# SrMg GGA-PBE optimized geometry
# Formation energy ... 0.05 eV per atom
# Final energy ... -1.589 eV per atom
# Volume ... 37.1 A^3/atom
# Total moment ... 0.000 μB per atom
data_SrMg
_cell_length_a 5.2065
_cell_length_b 5.2065
_cell_length_c 10.9365
_cell_angle_alpha 90.00
_cell_angle_beta 90.00
_cell_angle_gamma 90.00
_symmetry_space_group_name_H-M 'I 41/a m d'
_symmetry_Int_Tables_number 141
loop_
_symmetry_equiv_pos_as_xyz
'x,y,z'
'-x,-y,-z'
'-y+1/4,x+3/4,z+1/4'
'y+1/4,-x+3/4,-z+1/4'
'-x+1/2,-y,z+1/2'
'x+1/2,y,-z+1/2'
'y+1/4,-x+1/4,z+3/4'
'-y+1/4,x+1/4,-z+3/4'
'x,-y,-z'
'-x,y,z'
'-y+1/4,-x+1/4,-z+3/4'
'y+1/4,x+1/4,z+3/4'
'-x+1/2,y,-z+1/2'
'x+1/2,-y,z+1/2'
'y+1/4,x+3/4,-z+1/4'
'-y+1/4,-x+3/4,z+1/4'
'x+1/2,y+1/2,z+1/2'
'-x+1/2,-y+1/2,-z+1/2'
'-y+3/4,x+1/4,z+3/4'
'y+3/4,-x+1/4,-z+3/4'
'-x,-y+1/2,z'
'x,y+1/2,-z'
'y+3/4,-x+3/4,z+1/4'
'-y+3/4,x+3/4,-z+1/4'
'x+1/2,-y+1/2,-z+1/2'
'-x+1/2,y+1/2,z+1/2'
'-y+3/4,-x+3/4,-z+1/4'
'y+3/4,x+3/4,z+1/4'
'-x,y+1/2,-z'
'x,-y+1/2,z'
'y+3/4,x+1/4,-z+3/4'
'-y+3/4,-x+1/4,z+3/4'
loop_
_atom_site_label
_atom_site_fract_x
_atom_site_fract_y
_atom_site_fract_z
Sr1 0.0000 0.2500 0.3750
Mg1 0.0000 0.2500 0.8750

---

# Sr3Mg5 GGA-PBE optimized geometry
# Formation energy ... 0.02 eV per atom
# Final energy ... -1.605 eV per atom
# Volume ... 34.0 A^3/atom
# Total moment ... 0.000 μB per atom
data_Sr3Mg5
_cell_length_a 6.0661
_cell_length_b 8.7305
_cell_length_c 11.2556
_cell_angle_alpha 85.02
_cell_angle_beta 74.63
_cell_angle_gamma 70.95
_symmetry_space_group_name_H-M 'P 1'
_symmetry_Int_Tables_number 1
_symmetry_space_group_name_Hall 'P 1'
loop_
_atom_site_label
_atom_site_fract_x
_atom_site_fract_y
_atom_site_fract_z
Sr1 0.0000 0.0000 0.0000
Sr2 0.0819 0.4083 0.4023
Sr3 0.2441 0.4636 0.0260
Sr4 0.4451 0.6941 0.4021
Sr5 0.5956 0.0000 0.8041
Sr6 0.8666 0.4639 0.7784
Mg1 0.0018 0.0584 0.4004
Mg2 0.1401 0.0709 0.6426
Mg3 0.2718 0.7092 0.7323
Mg4 0.3868 0.0706 0.1617
Mg5 0.5223 0.3301 0.5950
Mg6 0.5262 0.0669 0.4038
Mg7 0.6051 0.7090 0.0719
Mg8 0.7140 0.3297 0.2095
Mg9 0.8313 0.7821 0.5489
Mg10 0.9726 0.7819 0.2553